# NaCdHg2Pb2

An optimized crystal structure of NaCdHg2Pb2 (PBE, Alexandria via LeMat-Bulk).

POSCAR file:
```
NaCdHg2Pb2
1.0
5.118 0.000 0.000
0.000 7.029 0.000
0.000 0.000 9.170
Na Cd Hg Pb
2 2 4 4
direct
0.000 0.989 0.476
0.000 0.489 0.524
0.500 0.177 0.688
0.500 0.677 0.312
0.000 0.287 0.829
0.500 0.243 0.374
0.000 0.787 0.171
0.500 0.743 0.626
0.500 0.039 0.041
0.000 0.310 0.176
0.500 0.539 0.959
0.000 0.810 0.824
```

Computed properties:
total magnetic moment: 0.00 μB/cell
energy relative to the elements: -0.074 eV/atom
theoretical density: 9575 kg/m³
SG: Pmc2_1